VASP calculation (GGA-PBEsol) on a geometry-optimized Sr2CaHg structure.

Properties
Total moment ... 0.0 μB per cell
Space-group type ... F-43m (216)
Total energy ... -1.718 eV/atom
Energy of formation ... -0.5 eV per formula unit

Unit cell a=5.769 b=5.769 c=5.769 alpha=60.00 beta=60.00 gamma=60.00
Fractional coordinates of all 4 atoms:
Sr1 0.000 0.000 0.000
Hg1 0.250 0.250 0.250
Ca1 0.500 0.500 0.500
Sr2 0.750 0.750 0.750